Material: Tm2Zn15Ag2
Method: DFT, PBE-GGA
State: relaxed

a = 6.809 Å, b = 6.809 Å, c = 6.809 Å
α = 82.97°, β = 82.97°, γ = 82.97°
Sites, in units of the cell vectors:
Zn 0.701 0.000 0.299
Zn 0.646 0.163 0.646
Zn 0.646 0.646 0.163
Zn 0.000 0.500 0.000
Zn 0.163 0.646 0.646
Zn 0.354 0.837 0.354
Zn 0.299 0.000 0.701
Zn 0.500 0.000 0.000
Zn 0.837 0.354 0.354
Zn 0.000 0.701 0.299
Zn 0.299 0.701 0.000
Zn 0.000 0.299 0.701
Zn 0.354 0.354 0.837
Zn 0.701 0.299 0.000
Zn 0.000 0.000 0.500
Ag 0.892 0.892 0.892
Ag 0.108 0.108 0.108
Tm 0.341 0.341 0.341
Tm 0.659 0.659 0.659

Properties
* E_tot: -37.730 eV for the cell shown
* ΔH_f (0 K): -0.21 eV per atom
* symmetry: R-3m (166)
* magnetic moment: 0.00 μB/f.u.


Material: TmZn17Ag
Method: DFT, PBE-GGA
State: relaxed

a = 6.792 Å, b = 6.792 Å, c = 6.792 Å
α = 81.90°, β = 81.90°, γ = 81.90°
Sites, in units of the cell vectors:
Zn 0.006 0.302 0.677
Zn 0.098 0.098 0.098
Zn 0.838 0.345 0.345
Zn 0.345 0.345 0.838
Zn 0.653 0.653 0.156
Zn 0.899 0.899 0.899
Zn 0.677 0.302 0.006
Zn 0.345 0.838 0.345
Zn 0.156 0.653 0.653
Zn 0.987 0.987 0.495
Zn 0.677 0.006 0.302
Zn 0.006 0.677 0.302
Zn 0.302 0.677 0.006
Zn 0.495 0.987 0.987
Zn 0.987 0.495 0.987
Zn 0.302 0.006 0.677
Zn 0.653 0.156 0.653
Tm 0.663 0.663 0.663
Ag 0.410 0.410 0.410

Properties
* E_tot: -30.594 eV for the cell shown
* ΔH_f (0 K): -0.08 eV per atom
* symmetry: R3m (160)
* magnetic moment: 0.00 μB/f.u.


Material: Tm3ZnAg2
Method: DFT, PBE-GGA
State: relaxed

a = 5.050 Å, b = 5.050 Å, c = 12.324 Å
α = 90.00°, β = 90.00°, γ = 120.00°
Sites, in units of the cell vectors:
Zn 0.667 0.333 0.333
Zn 0.333 0.667 0.667
Ag 0.333 0.667 0.171
Ag 0.000 0.000 0.500
Ag 0.667 0.333 0.829
Ag 0.000 0.000 0.000
Tm 0.333 0.667 0.418
Tm 0.667 0.333 0.085
Tm 0.000 0.000 0.748
Tm 0.667 0.333 0.582
Tm 0.333 0.667 0.915
Tm 0.000 0.000 0.252

Properties
* E_tot: -44.849 eV for the cell shown
* ΔH_f (0 K): -0.34 eV per atom
* symmetry: P-3m1 (164)
* magnetic moment: 0.00 μB/f.u.


Material: Tm6ZnAg5
Method: DFT, PBE-GGA
State: relaxed

a = 5.065 Å, b = 7.145 Å, c = 7.991 Å
α = 90.00°, β = 71.52°, γ = 90.00°
Sites, in units of the cell vectors:
Ag 0.333 0.500 0.334
Ag 0.335 0.000 0.330
Ag 0.667 0.500 0.666
Ag 0.665 0.000 0.670
Ag 0.000 0.500 0.000
Tm 0.834 0.249 0.331
Tm 0.166 0.751 0.669
Tm 0.500 0.248 0.000
Tm 0.500 0.752 0.000
Tm 0.166 0.249 0.669
Tm 0.834 0.751 0.331
Zn 0.000 0.000 0.000

Properties
* E_tot: -46.442 eV for the cell shown
* ΔH_f (0 K): -0.34 eV per atom
* symmetry: Cmmm (65)
* magnetic moment: 0.00 μB/f.u.


Material: TmZn12Ag4
Method: DFT, PBE-GGA
State: relaxed

a = 7.655 Å, b = 7.655 Å, c = 7.655 Å
α = 109.47°, β = 109.47°, γ = 109.47°
Sites, in units of the cell vectors:
Zn 0.498 0.855 0.643
Zn 0.643 0.789 0.145
Zn 0.211 0.855 0.357
Zn 0.855 0.357 0.211
Zn 0.502 0.145 0.357
Zn 0.357 0.502 0.145
Zn 0.357 0.211 0.855
Zn 0.789 0.145 0.643
Zn 0.145 0.357 0.502
Zn 0.855 0.643 0.498
Zn 0.643 0.498 0.855
Zn 0.145 0.643 0.789
Ag 0.500 0.000 0.000
Ag 0.000 0.500 0.000
Ag 0.000 0.000 0.500
Ag 0.500 0.500 0.500
Tm 0.000 0.000 0.000

Properties
* E_tot: -27.411 eV for the cell shown
* ΔH_f (0 K): 0.22 eV per atom
* symmetry: Im-3 (204)
* magnetic moment: 0.00 μB/f.u.


Material: Tm2Zn12Ag5
Method: DFT, PBE-GGA
State: relaxed

a = 6.920 Å, b = 6.920 Å, c = 6.920 Å
α = 83.18°, β = 83.18°, γ = 83.18°
Sites, in units of the cell vectors:
Zn 0.000 0.694 0.306
Zn 0.170 0.647 0.647
Zn 0.694 0.306 0.000
Zn 0.830 0.353 0.353
Zn 0.306 0.694 0.000
Zn 0.647 0.647 0.170
Zn 0.000 0.306 0.694
Zn 0.353 0.830 0.353
Zn 0.306 0.000 0.694
Zn 0.353 0.353 0.830
Zn 0.694 0.000 0.306
Zn 0.647 0.170 0.647
Ag 0.000 0.000 0.500
Ag 0.000 0.500 0.000
Ag 0.104 0.104 0.104
Ag 0.896 0.896 0.896
Ag 0.500 0.000 0.000
Tm 0.342 0.342 0.342
Tm 0.658 0.658 0.658

Properties
* E_tot: -41.393 eV for the cell shown
* ΔH_f (0 K): -0.15 eV per atom
* symmetry: R-3m (166)
* magnetic moment: 0.00 μB/f.u.


Number 1: theoretical density 8.2 g cm⁻³. Number 2: theoretical density 7.6 g cm⁻³. Number 3: theoretical density 9.6 g cm⁻³. Number 4: theoretical density 9.8 g cm⁻³. Number 5: theoretical density 6.7 g cm⁻³. Number 6: theoretical density 8.5 g cm⁻³.